# 1
First-principles (GGA-PBE) data for a geometry-optimized Tb5YEr3 structure, as listed in the Alexandria database.

abc: 9.6894 9.6894 6.9890
angles: 90.00 90.00 59.96
Last column: nearest neighbours and their distance in Å.
Fractional coordinates of all 18 atoms:
Tb1 0.1395 0.5010 0.7500  5 Tb 3.24-3.53, 4 Er 3.56-3.57
Tb2 0.1953 0.4979 0.2500  4 Tb 3.24-3.53, 1 Y 3.27, 2 Er 3.44
Tb3 0.1951 0.8049 0.7500  2 Tb 3.25, 3 Y 3.25-3.53, 2 Er 3.43
Tb4 0.4979 0.1953 0.7500  4 Tb 3.24-3.53, 1 Y 3.27, 2 Er 3.44
Tb5 0.4990 0.8605 0.7500  5 Tb 3.24-3.53, 4 Er 3.56-3.57
Tb6 0.5010 0.1395 0.2500  5 Tb 3.24-3.53, 4 Er 3.56-3.57
Tb7 0.5021 0.8047 0.2500  4 Tb 3.24-3.53, 1 Y 3.27, 2 Er 3.44
Tb8 0.8049 0.1951 0.2500  2 Tb 3.25, 3 Y 3.25-3.53, 2 Er 3.43
Tb9 0.8047 0.5021 0.7500  4 Tb 3.24-3.53, 1 Y 3.27, 2 Er 3.44
Tb10 0.8605 0.4990 0.2500  5 Tb 3.24-3.53, 4 Er 3.56-3.57
Y1 0.1405 0.8595 0.2500  5 Tb 3.25-3.53, 4 Er 3.57
Y2 0.8595 0.1405 0.7500  5 Tb 3.25-3.53, 4 Er 3.57
Er1 0.1669 0.1669 0.0000  2 Er 3.49, 10 Tb 3.56-3.81, 2 Y 3.57
Er2 0.1669 0.1669 0.5000  2 Er 3.49, 10 Tb 3.56-3.81, 2 Y 3.57
Er3 0.5000 0.5000 0.0000  6 Tb 3.43-3.44, 2 Er 3.49
Er4 0.5000 0.5000 0.5000  6 Tb 3.43-3.44, 2 Er 3.49
Er5 0.8331 0.8331 0.0000  2 Er 3.49, 10 Tb 3.56-3.81, 2 Y 3.57
Er6 0.8331 0.8331 0.5000  2 Er 3.49, 10 Tb 3.56-3.81, 2 Y 3.57

Computed properties:
DOS at the Fermi energy	24.94	states/eV/cell
E_form	0.053	eV per atom
total magnetic moment	0.000	μB/atom

***

# 2
First-principles (GGA-PBE) data for a geometry-optimized DyMg3Zn8 structure, as listed in the Alexandria database.

abc: 5.2276 5.2276 8.8221
angles: 90.00 90.00 120.00
Last column: nearest neighbours and their distance in Å.
Fractional coordinates of all 12 atoms:
Dy1 0.0000 0.0000 0.0000  12 Zn 3.06-3.15, 4 Mg 3.25-3.31
Mg1 0.0000 0.0000 0.3748  12 Zn 3.05-3.11, 3 Mg 3.21, 1 Dy 3.31
Mg2 0.6667 0.3333 0.4997  12 Zn 3.05-3.08, 4 Mg 3.21-3.22
Mg3 0.6667 0.3333 0.8646  12 Zn 3.06-3.29, 1 Mg 3.22, 3 Dy 3.25
Zn1 0.1635 0.3270 0.6851  6 Zn 2.56-2.73
Zn2 0.1635 0.8365 0.6851  6 Zn 2.56-2.73
Zn3 0.3333 0.6667 0.4460  6 Zn 2.61-2.68
Zn4 0.3333 0.6667 0.9408  6 Zn 2.73
Zn5 0.5023 0.0047 0.1973  6 Zn 2.58-2.73
Zn6 0.5023 0.4977 0.1973  6 Zn 2.58-2.73
Zn7 0.6730 0.8365 0.6851  6 Zn 2.56-2.73
Zn8 0.9953 0.4977 0.1973  6 Zn 2.58-2.73

Computed properties:
DOS at the Fermi energy	5.49	states/eV/cell
E_form	-0.189	eV per atom
total magnetic moment	0.000	μB/atom

***

# 3
First-principles (GGA-PBE) data for a geometry-optimized NaPd5Au6 structure, as listed in the Alexandria database.

abc: 7.6081 7.6081 7.6081
angles: 148.37 116.65 72.55
Last column: nearest neighbours and their distance in Å.
Fractional coordinates of all 12 atoms:
Na1 0.0000 0.0000 0.0000  4 Pd 2.89, 8 Au 2.89-2.92
Pd1 0.1638 0.6638 0.5000  8 Au 2.85-2.90, 2 Na 2.89, 2 Pd 2.91
Pd2 0.3300 0.3300 0.0000  8 Au 2.84-2.86, 4 Pd 2.91-2.94
Pd3 0.5000 0.0000 0.5000  8 Au 2.84-2.85, 4 Pd 2.94
Pd4 0.6700 0.6700 0.0000  8 Au 2.84-2.86, 4 Pd 2.91-2.94
Pd5 0.8362 0.3362 0.5000  8 Au 2.85-2.90, 2 Na 2.89, 2 Pd 2.91
Au1 0.0864 0.8322 0.2542  7 Pd 2.84-2.90, 1 Na 2.89, 4 Au 2.89-2.92
Au2 0.2578 0.5000 0.7578  6 Pd 2.84-2.88, 4 Au 2.92, 2 Na 2.92
Au3 0.4219 0.1678 0.2542  7 Pd 2.84-2.90, 1 Na 2.89, 4 Au 2.89-2.92
Au4 0.5781 0.8322 0.7458  7 Pd 2.84-2.90, 1 Na 2.89, 4 Au 2.89-2.92
Au5 0.7422 0.5000 0.2422  6 Pd 2.84-2.88, 4 Au 2.92, 2 Na 2.92
Au6 0.9136 0.1678 0.7458  7 Pd 2.84-2.90, 1 Na 2.89, 4 Au 2.89-2.92

Computed properties:
DOS at the Fermi energy	5.76	states/eV/cell
E_form	-0.110	eV per atom
total magnetic moment	0.000	μB/atom

***

# 4
First-principles (GGA-PBE) data for a geometry-optimized RuF structure, as listed in the Alexandria database.

abc: 7.8121 7.8121 7.8121
angles: 90.00 90.00 90.00
Last column: nearest neighbours and their distance in Å.
Fractional coordinates of all 16 atoms:
Ru1 0.1103 0.1103 0.8897  1 F 1.96
Ru2 0.1103 0.8897 0.1103  1 F 1.96
Ru3 0.3897 0.3897 0.3897  1 F 1.96
Ru4 0.3897 0.6103 0.6103  1 F 1.96
Ru5 0.6103 0.3897 0.6103  1 F 1.96
Ru6 0.6103 0.6103 0.3897  1 F 1.96
Ru7 0.8897 0.1103 0.1103  1 F 1.96
Ru8 0.8897 0.8897 0.8897  1 F 1.96
F1 0.2448 0.2448 0.2448  1 Ru 1.96
F2 0.2448 0.7552 0.7552  1 Ru 1.96
F3 0.2552 0.2552 0.7448  1 Ru 1.96
F4 0.2552 0.7448 0.2552  1 Ru 1.96
F5 0.7448 0.2552 0.2552  1 Ru 1.96
F6 0.7448 0.7448 0.7448  1 Ru 1.96
F7 0.7552 0.2448 0.7552  1 Ru 1.96
F8 0.7552 0.7552 0.2448  1 Ru 1.96

Computed properties:
ΔE_f (raw)	-0.05	eV/atom
total magnetic moment	0.984	μB/atom

***

# 5
First-principles (GGA-PBE) data for a geometry-optimized Sn2AsAu structure, as listed in the Alexandria database.

abc: 7.1695 4.1728 8.3422
angles: 90.00 106.79 90.00
Last column: nearest neighbours and their distance in Å.
Fractional coordinates of all 8 atoms:
Sn1 0.0000 0.0000 0.0000  1 Au 2.70, 3 As 2.72
Sn2 0.0008 0.5000 0.5038  3 Au 2.71, 1 As 2.75
Sn3 0.5000 0.5000 0.0000  1 Au 2.70, 3 As 2.72
Sn4 0.5008 0.0000 0.5038  3 Au 2.71, 1 As 2.75
As1 0.3880 0.0000 0.1599  4 Sn 2.72-2.75
As2 0.8880 0.5000 0.1599  4 Sn 2.72-2.75
Au1 0.3890 0.5000 0.6616  4 Sn 2.70-2.71
Au2 0.8890 0.0000 0.6616  4 Sn 2.70-2.71

Computed properties:
DOS at the Fermi energy	2.07	states/eV/cell
E_form	-0.067	eV per atom
total magnetic moment	0.000	μB/atom

***

# 6
First-principles (GGA-PBE) data for a geometry-optimized La5PrHo6 structure, as listed in the Alexandria database.

abc: 9.6198 9.6198 5.2271
angles: 105.71 105.71 62.32
Last column: nearest neighbours and their distance in Å.
Fractional coordinates of all 12 atoms:
La1 0.0000 0.0000 0.0000  8 Ho 3.60-3.61, 4 La 3.69
La2 0.1668 0.1668 0.6668  8 Ho 3.60-3.61, 4 La 3.69
La3 0.3337 0.3337 0.3335  8 Ho 3.59-3.61, 2 Pr 3.68-3.69, 2 La 3.69
La4 0.6663 0.6663 0.6665  8 Ho 3.59-3.61, 2 Pr 3.68-3.69, 2 La 3.69
La5 0.8332 0.8332 0.3332  8 Ho 3.60-3.61, 4 La 3.69
Pr1 0.5000 0.5000 0.0000  8 Ho 3.60-3.61, 4 La 3.68-3.69
Ho1 0.0839 0.5835 0.8337  1 Pr 3.60, 7 La 3.60-3.61, 4 Ho 3.68-3.70
Ho2 0.2503 0.7497 0.5000  6 La 3.59-3.61, 2 Pr 3.61, 4 Ho 3.68-3.69
Ho3 0.4165 0.9161 0.1663  1 Pr 3.60, 7 La 3.60-3.61, 4 Ho 3.68-3.70
Ho4 0.5835 0.0839 0.8337  1 Pr 3.60, 7 La 3.60-3.61, 4 Ho 3.68-3.70
Ho5 0.7497 0.2503 0.5000  6 La 3.59-3.61, 2 Pr 3.61, 4 Ho 3.68-3.69
Ho6 0.9161 0.4165 0.1663  1 Pr 3.60, 7 La 3.60-3.61, 4 Ho 3.68-3.70

Computed properties:
DOS at the Fermi energy	16.79	states/eV/cell
E_form	0.022	eV per atom
total magnetic moment	0.000	μB/atom